Entry 1:
DFT (GGA-PBE) results for crystalline Na2Zn3In5 at its relaxed geometry.

Lattice parameters (Å, degrees): 12.4517 12.5226 6.3674 90.00 90.00 90.00
Space group Ibam (No. 72)
Symmetry-distinct sites (fractional):
Na: 0.1394 0.2329 0.0000 x8
Zn: 0.0000 0.5000 0.2500 x4
Zn: 0.1291 0.1365 0.5000 x8
In: 0.0000 0.0000 0.2500 x4
In: 0.0987 0.3459 0.5000 x8
In: 0.2418 0.5000 0.2500 x8

- Energy above the lowest structure with this stoichiometry: 32.2 meV per atom

Entry 2:
DFT (GGA-PBE) results for crystalline NaZn2In at its relaxed geometry.

Lattice parameters (Å, degrees): 3.2585 3.2585 29.0588 90.00 90.00 120.00
Space group R-3m (No. 166, hexagonal axes)
Symmetry-distinct sites (fractional):
Na: 0.0000 0.0000 0.0000 x3
Zn: 0.0000 0.0000 0.2474 x6
In: 0.0000 0.0000 0.5000 x3

In the order shown, the computed energy of formation from the pure elements values come out to -0.22; 0.52 eV/f.u..
In the order shown, the computed VASP energy values come out to -2.037; -1.521 eV/atom.